Computed, not measured: a relaxed Cs2CeBi2O6 crystal at the GGA-PBE level of DFT.

Spin magnetization, μB/cell: 0.00
Total energy, eV/f.u.: -65.38
ρ, Mg/m³: 5.2
Space group: C2/m, No. 12
Fermi-level density of states, states/eV/atom: 0.000

Cell lengths 6.4382, 6.4475, 8.3573 Å; angles 100.08, 90.00, 119.95 degrees
Closest atoms and distances in Å follow each position.
Positions (direct):
Cs: 0.1935 0.3870 0.6751  9 O 3.22-3.24
Bi: 0.1247 0.2494 0.2223  3 O 2.09-2.10
O: 0.6928 0.3857 0.6525  1 Bi 2.10, 1 Ce 2.27
O: 0.8167 0.1233 0.3474  1 Bi 2.09, 1 Ce 2.27
O: 0.3072 0.6143 0.3475  1 Bi 2.10, 1 Ce 2.27
Cs: 0.8065 0.6130 0.3249  9 O 3.22-3.24
Bi: 0.8753 0.7506 0.7777  3 O 2.09-2.10
O: 0.6934 0.8767 0.6526  1 Bi 2.09, 1 Ce 2.27
Ce: 0.5000 0.0000 0.5000  6 O 2.27
O: 0.1833 0.8767 0.6526  1 Bi 2.09, 1 Ce 2.27
O: 0.3066 0.1233 0.3474  1 Bi 2.09, 1 Ce 2.27



Computed, not measured: a relaxed RbScPb crystal at the GGA-PBE level of DFT.

Spin magnetization, μB/cell: 0.00
Total energy, eV/f.u.: -10.64
ρ, Mg/m³: 4.3
Space group: P-6m2, No. 187
E above lowest polymorph, meV per atom: 360
Fermi-level density of states, states/eV/atom: 0.287
ΔH_f (0 K), eV per atom: 0.1226

Cell lengths 5.0177, 5.0177, 5.9285 Å; angles 90.00, 90.00, 120.00 degrees
Closest atoms and distances in Å follow each position.
Positions (direct):
Sc: 0.0000 0.0000 0.0000  3 Pb 2.90
Pb: 0.3333 0.6667 0.0000  3 Sc 2.90
Rb: 0.6667 0.3333 0.5000  6 Pb 4.14, 6 Sc 4.14